No. 1
Material: LaMgRu
Method: DFT, PBE
State: relaxed

Properties
The value obtained for the raw total energy is -0.2015 Ha/atom. The value obtained for the formation energy is -21.0 kJ/mol of atoms.

The structure in POSCAR format:
```
LaMgRu
1.0
-4.537 4.547 -0.547
-1.265 -6.148 -2.635
-2.949 -2.165 6.466
La Mg Ru
4 4 4
Direct
0.295 0.590 0.102
0.795 0.590 0.398
0.705 0.410 0.898
0.205 0.410 0.602
0.217 0.935 0.750
0.717 0.935 0.750
0.783 0.065 0.250
0.283 0.065 0.250
0.390 0.779 0.470
0.890 0.779 0.030
0.110 0.221 0.970
0.610 0.221 0.530
```

No. 2
Material: Y3ReSi
Method: DFT, PBE
State: relaxed

Properties
The energy above the most stable polymorph in this dataset comes out at 0 meV per atom. As for the formation energy (no corrections): 436 meV per atom. The value obtained for the raw total energy is -0.2579 Ha/atom.

The structure in POSCAR format:
```
Y3ReSi
1.0
5.297 0.000 0.000
0.000 5.297 0.000
0.000 0.000 5.297
Y Re Si
3 1 1
Direct
0.000 0.500 0.000
0.500 0.000 0.000
0.000 0.000 0.500
0.000 0.000 0.000
0.500 0.500 0.500
```

No. 3
Material: LaBeIO2
Method: DFT, PBE
State: relaxed

Properties
The energy above the most stable polymorph in this dataset comes out at 225 meV per atom. As for the formation energy (no corrections): -863 meV per atom. The value obtained for the raw total energy is -0.1796 Ha/atom.

The structure in POSCAR format:
```
LaBeIO2
1.0
4.319 0.000 0.000
0.000 4.319 0.000
0.000 0.000 7.153
I O Be La
1 2 1 1
Direct
0.000 0.000 0.500
0.500 0.000 0.000
0.000 0.500 0.000
0.500 0.500 0.500
0.000 0.000 0.000
```

No. 4
Material: Hf2TlSn
Method: DFT, PBE
State: relaxed

Properties
The energy above the most stable polymorph in this dataset comes out at 205 meV per atom. The value obtained for the raw total energy is -0.2361 Ha/atom. The value obtained for the formation energy is 14.0 kJ/mol of atoms.

The structure in POSCAR format:
```
Hf2TlSn
1.0
-3.455 -0.594 -1.772
-1.676 -3.551 0.104
-5.222 0.458 5.672
Hf Sn Tl
2 1 1
Direct
0.253 0.253 0.240
0.747 0.747 0.760
0.000 0.000 0.000
0.500 0.500 0.500
```

Q: raw total energy of number 4 (Hf2TlSn)?
A: -0.2361 Ha/atom